1.
A crystal of MgTeI2F relaxed with PBEsol. Source: Alexandria, functional meta-GGA SCAN.

Computed properties:
E_form (uncorrected) = -150.7 meV per atom
space group = No. 123

abc: 5.4362 5.4362 5.4636
angles: 90.00 90.00 90.00
With the nearest neighbours (Å) after each atom.
Fractional coordinates of all 5 atoms:
Mg 0.0000 0.0000 0.0000  4 I 2.72, 2 Te 2.73
Te 0.0000 0.0000 0.5000  2 Mg 2.73
I 0.0000 0.5000 0.0000  2 Mg 2.72
I 0.5000 0.0000 0.0000  2 Mg 2.72
F 0.5000 0.5000 0.5000  4 Te 3.84, 8 I 3.85

2.
A crystal of BaMg2Sb2 relaxed with PBEsol. Source: Alexandria, functional meta-GGA SCAN.

Computed properties:
E_form (uncorrected) = -821.5 meV per atom
space group = No. 139

abc: 7.9577 7.9577 7.9577
angles: 146.85 146.85 47.58
With the nearest neighbours (Å) after each atom.
Fractional coordinates of all 5 atoms:
Ba 0.0000 0.0000 0.0000  8 Sb 3.71
Mg 0.2500 0.7500 0.5000  4 Sb 2.88, 4 Mg 3.21
Mg 0.7500 0.2500 0.5000  4 Sb 2.88, 4 Mg 3.21
Sb 0.3718 0.3718 0.0000  4 Mg 2.88
Sb 0.6282 0.6282 0.0000  4 Mg 2.88

3.
A crystal of TlIBr2 relaxed with PBEsol. Source: Alexandria, functional meta-GGA SCAN.

Computed properties:
E_form (uncorrected) = -452.2 meV per atom
space group = No. 166

abc: 8.7344 8.7344 8.7344
angles: 34.18 34.18 34.18
With the nearest neighbours (Å) after each atom.
Fractional coordinates of all 4 atoms:
Tl 0.0000 0.0000 0.0000  6 Br 3.28
I 0.5000 0.5000 0.5000  2 Br 2.70
Br 0.3904 0.3904 0.3904  1 I 2.70
Br 0.6096 0.6096 0.6096  1 I 2.70

4.
A crystal of Ba2CuSi relaxed with PBEsol. Source: Alexandria, functional meta-GGA SCAN.

Computed properties:
E_form (uncorrected) = -247.4 meV per atom
space group = No. 38

abc: 4.3877 5.8344 5.8344
angles: 53.03 90.00 90.00
With the nearest neighbours (Å) after each atom.
Fractional coordinates of all 4 atoms:
Ba 0.0000 0.0000 0.0000  3 Cu 3.25-3.27
Ba 0.5000 0.3120 0.3120  3 Si 3.25-3.28
Cu 0.0000 0.6864 0.6864  2 Si 2.28
Si 0.5000 0.6263 0.6263  2 Cu 2.28

5.
A crystal of CaHf3Nb relaxed with PBEsol. Source: Alexandria, functional meta-GGA SCAN.

Computed properties:
energy of formation = 2.0004 eV per atom
space group = No. 221

abc: 4.8113 4.8113 4.8113
angles: 90.00 90.00 90.00
With the nearest neighbours (Å) after each atom.
Fractional coordinates of all 5 atoms:
Ca 0.0000 0.0000 0.0000  6 Hf 2.41
Hf 0.0000 0.0000 0.5000  2 Ca 2.41
Hf 0.0000 0.5000 0.0000  2 Ca 2.41
Hf 0.5000 0.0000 0.0000  2 Ca 2.41
Nb 0.5000 0.5000 0.5000  12 Hf 3.40

6.
A crystal of SrAgSN2 relaxed with PBEsol. Source: Alexandria, functional meta-GGA SCAN.

Computed properties:
E_form (uncorrected) = 562.7 meV per atom
space group = No. 123

abc: 4.1771 4.1771 4.9422
angles: 90.00 90.00 90.00
With the nearest neighbours (Å) after each atom.
Fractional coordinates of all 5 atoms:
Sr 0.0000 0.0000 0.0000  4 S 2.95, 8 N 3.24
Ag 0.5000 0.5000 0.5000  4 N 2.09
S 0.5000 0.5000 0.0000  2 Ag 2.47
N 0.0000 0.5000 0.5000  2 Ag 2.09
N 0.5000 0.0000 0.5000  2 Ag 2.09